# 1
Computed, not measured: crystalline ZrOs2Rh at its relaxed geometry at the GGA-PBE level of DFT.

Calculated values
Energy above the most stable polymorph in this dataset   269 meV/atom
Crystal system   monoclinic
Calculated volume   64.5 Å³/cell
Space group   P2/m
Formation enthalpy at 0 K   0.0574 eV per atom

abc: 2.830 4.749 4.823
angles: 90.00 96.02 90.00
Positions (direct):
Zr  0.000  0.000  0.000
Os  0.309  0.500  0.738
Os  0.691  0.500  0.262
Rh  0.500  0.000  0.500

# 2
Computed, not measured: crystalline Cs3Mg2H8 at its relaxed geometry at the GGA-PBE level of DFT.

Calculated values
Crystal system   trigonal
Calculated volume   277.1 Å³/cell
Total DFT energy (no corrections)   -32.8 eV per cell
Space group   R-3m

abc: 8.475 8.475 8.475
angles: 45.01 45.01 45.01
Positions (direct):
Cs  0.000  0.000  0.000
Cs  0.210  0.210  0.210
Cs  0.790  0.790  0.790
Mg  0.423  0.423  0.423
Mg  0.577  0.577  0.577
H  0.240  0.719  0.719
H  0.281  0.281  0.760
H  0.281  0.760  0.281
H  0.340  0.340  0.340
H  0.660  0.660  0.660
H  0.719  0.240  0.719
H  0.719  0.719  0.240
H  0.760  0.281  0.281

no.,density (Mg/m³)
1,14.80
2,2.73